Computed, not measured: a relaxed AlNiBi2O6 crystal at the PBE+U level of DFT.

Unit cell a=4.7017 b=5.2074 c=5.2074 alpha=90.00 beta=90.00 gamma=90.00
Closest atoms and distances in Å follow each position.
Fractional coordinates of all 10 atoms:
Al (0.5829, 0.0000, 0.0000)  5 O 1.78-1.88
Ni (0.6002, 0.5000, 0.5000)  5 O 1.98
Bi (0.0131, 0.5000, 0.0000)  4 O 2.32
Bi (0.0131, 0.0000, 0.5000)  4 O 2.32
O (0.7135, 0.2414, 0.2414)  1 Al 1.88, 1 Ni 1.98
O (0.7135, 0.2414, 0.7586)  1 Al 1.88, 1 Ni 1.98
O (0.1783, 0.5000, 0.5000)  1 Ni 1.98
O (0.2053, 0.0000, 0.0000)  1 Al 1.78
O (0.7135, 0.7586, 0.7586)  1 Al 1.88, 1 Ni 1.98
O (0.7135, 0.7586, 0.2414)  1 Al 1.88, 1 Ni 1.98

Computed properties:
Symmetry = No. 99
Magnetic moment = 1.95 Bohr magnetons per cell
Total energy = -58.54 eV/cell